Entry 1:
A relaxed structure of NdV2O6, computed with PBE+U.

a b c (Å): 6.230 6.230 2.768
angles (deg): 90.00 90.00 120.00
Element x y z (fractional)
Nd (0.000, 0.000, 0.000)
V (0.333, 0.667, 0.231)
V (0.667, 0.333, 0.769)
O (0.137, 0.418, 0.734)
O (0.282, 0.863, 0.734)
O (0.418, 0.282, 0.266)
O (0.582, 0.718, 0.734)
O (0.718, 0.137, 0.266)
O (0.863, 0.582, 0.266)

Values from the calculation:
SG: No. 147
Total moment: 0.75 μB per formula unit

***

Entry 2:
A relaxed structure of NdV2O2, computed with PBE+U.

a b c (Å): 7.894 7.894 7.894
angles (deg): 111.36 111.36 105.75
Element x y z (fractional)
Nd (0.000, 0.000, 0.000)
Nd (0.000, 0.000, 0.500)
Nd (0.000, 0.500, 0.000)
Nd (0.500, 0.000, 0.500)
V (0.063, 0.629, 0.434)
V (0.305, 0.371, 0.934)
V (0.371, 0.305, 0.434)
V (0.371, 0.937, 0.066)
V (0.629, 0.063, 0.934)
V (0.629, 0.695, 0.566)
V (0.695, 0.629, 0.066)
V (0.937, 0.371, 0.566)
O (0.221, 0.319, 0.597)
O (0.221, 0.624, 0.903)
O (0.319, 0.221, 0.097)
O (0.376, 0.779, 0.597)
O (0.624, 0.221, 0.403)
O (0.681, 0.779, 0.903)
O (0.779, 0.376, 0.097)
O (0.779, 0.681, 0.403)

Values from the calculation:
SG: No. 141
Total moment: 6.17 μB per formula unit

***

Entry 3:
A relaxed structure of Nd3VO6, computed with PBE+U.

a b c (Å): 7.443 7.443 5.705
angles (deg): 90.00 90.00 102.81
Element x y z (fractional)
Nd (0.103, 0.897, 0.500)
Nd (0.200, 0.412, 0.544)
Nd (0.412, 0.200, 0.044)
Nd (0.588, 0.800, 0.544)
Nd (0.800, 0.588, 0.044)
Nd (0.897, 0.103, 0.000)
V (0.308, 0.692, 0.076)
V (0.692, 0.308, 0.576)
O (0.083, 0.607, 0.253)
O (0.146, 0.173, 0.274)
O (0.173, 0.146, 0.774)
O (0.285, 0.715, 0.740)
O (0.393, 0.917, 0.253)
O (0.458, 0.542, 0.229)
O (0.542, 0.458, 0.729)
O (0.607, 0.083, 0.753)
O (0.715, 0.285, 0.240)
O (0.827, 0.854, 0.274)
O (0.854, 0.827, 0.774)
O (0.917, 0.393, 0.753)

Values from the calculation:
SG: No. 36
Total moment: 2.00 μB per formula unit

***

| no. | raw total energy (eV per atom) |
| --- | --- |
| 1 | -7.273 |
| 2 | -6.538 |
| 3 | -8.167 |